No. 1
An optimized crystal structure of TlCd2Se. Source: Alexandria, functional GGA-PBE.

abc: 4.006 4.273 6.742
angles: 72.98 90.00 90.00
Element x y z (fractional)
Tl 0.500 0.714 0.708
Se 0.000 0.298 0.522
Cd 0.000 0.034 0.052
Cd 0.500 0.455 0.218

## Properties
The raw formation energy is -0.132 eV per atom. Its electronic total energy is -8.21 eV for the cell shown. For the total moment, the calculation gives 0.0 μB per formula unit. The offset from the most stable computed form comes out at 37 meV per atom.

No. 2
An optimized crystal structure of TlCd2Se. Source: Alexandria, functional GGA-PBE.

abc: 8.113 8.113 6.587
angles: 51.99 51.99 90.00
Element x y z (fractional)
Se 0.500 0.500 0.000
Se 0.250 0.750 0.500
Cd 0.375 0.408 0.750
Cd 0.875 0.842 0.750
Cd 0.592 0.125 0.250
Cd 0.158 0.625 0.250
Tl 0.750 0.250 0.500
Tl 0.000 0.000 0.000

## Properties
The raw formation energy is -0.146 eV per atom. Its electronic total energy is -16.53 eV for the cell shown. For the total moment, the calculation gives 0.0 μB per formula unit. The offset from the most stable computed form comes out at 22 meV per atom.

No. 3
An optimized crystal structure of Tl4CdSe. Source: Alexandria, functional GGA-PBE.

abc: 6.453 6.453 6.453
angles: 60.00 60.00 60.00
Element x y z (fractional)
Cd 0.750 0.750 0.750
Tl 0.374 0.877 0.374
Tl 0.877 0.374 0.374
Tl 0.374 0.374 0.374
Tl 0.374 0.374 0.877
Se 0.000 0.000 0.000

## Properties
The raw formation energy is 0.128 eV per atom. Its electronic total energy is -13.09 eV for the cell shown. For the total moment, the calculation gives 0.0 μB per formula unit.

No. 4
An optimized crystal structure of Tl12Cd3Se5. Source: Alexandria, functional GGA-PBE.

abc: 15.619 15.619 15.619
angles: 109.47 109.47 109.47
Element x y z (fractional)
Se 0.125 0.750 0.375
Se 0.625 0.875 0.250
Se 0.250 0.875 0.125
Se 0.000 0.000 0.500
Se 0.375 0.250 0.125
Se 0.500 0.500 0.000
Se 0.500 0.500 0.500
Se 0.875 0.625 0.750
Se 0.500 0.000 0.500
Se 0.250 0.375 0.625
Se 0.000 0.500 0.500
Se 0.875 0.250 0.625
Se 0.000 0.000 0.000
Se 0.750 0.625 0.375
Se 0.000 0.500 0.000
Se 0.375 0.125 0.750
Se 0.625 0.750 0.875
Se 0.500 0.000 0.000
Se 0.750 0.125 0.875
Se 0.125 0.375 0.250
Tl 0.137 0.726 0.554
Tl 0.274 0.863 0.946
Tl 0.411 0.274 0.328
Tl 0.274 0.411 0.828
Tl 0.054 0.417 0.828
Tl 0.828 0.911 0.274
Tl 0.637 0.583 0.911
Tl 0.911 0.828 0.774
Tl 0.172 0.089 0.726
Tl 0.054 0.637 0.726
Tl 0.554 0.226 0.137
Tl 0.411 0.137 0.583
Tl 0.774 0.328 0.911
Tl 0.417 0.363 0.589
Tl 0.328 0.774 0.411
Tl 0.828 0.917 0.054
Tl 0.917 0.089 0.863
Tl 0.583 0.637 0.411
Tl 0.774 0.446 0.363
Tl 0.446 0.672 0.083
Tl 0.946 0.583 0.172
Tl 0.917 0.828 0.554
Tl 0.226 0.672 0.089
Tl 0.137 0.411 0.083
Tl 0.946 0.363 0.274
Tl 0.672 0.226 0.589
Tl 0.589 0.863 0.417
Tl 0.089 0.917 0.363
Tl 0.363 0.946 0.774
Tl 0.089 0.172 0.226
Tl 0.363 0.417 0.089
Tl 0.637 0.054 0.226
Tl 0.589 0.726 0.672
Tl 0.226 0.554 0.637
Tl 0.672 0.446 0.583
Tl 0.172 0.083 0.946
Tl 0.417 0.054 0.328
Tl 0.446 0.774 0.863
Tl 0.863 0.589 0.917
Tl 0.726 0.589 0.172
Tl 0.726 0.137 0.054
Tl 0.083 0.911 0.137
Tl 0.554 0.328 0.917
Tl 0.583 0.946 0.672
Tl 0.911 0.083 0.637
Tl 0.328 0.554 0.417
Tl 0.863 0.274 0.446
Tl 0.083 0.172 0.446
Cd 0.250 0.125 0.375
Cd 0.625 0.375 0.750
Cd 0.750 0.875 0.625
Cd 0.625 0.250 0.375
Cd 0.125 0.250 0.875
Cd 0.125 0.875 0.750
Cd 0.875 0.750 0.125
Cd 0.250 0.625 0.875
Cd 0.750 0.375 0.125
Cd 0.375 0.750 0.625
Cd 0.375 0.625 0.250
Cd 0.875 0.125 0.250

## Properties
The raw formation energy is -0.109 eV per atom. Its electronic total energy is -202.99 eV for the cell shown. For the total moment, the calculation gives 0.0 μB per formula unit.

No. 5
An optimized crystal structure of Tl3CdSe3. Source: Alexandria, functional GGA-PBE.

abc: 7.895 9.021 12.545
angles: 94.23 90.00 90.00
Element x y z (fractional)
Se 0.916 0.291 0.039
Se 0.084 0.709 0.961
Se 0.085 0.375 0.659
Se 0.416 0.709 0.461
Se 0.915 0.625 0.341
Se 0.584 0.291 0.539
Se 0.961 0.904 0.636
Se 0.461 0.096 0.864
Se 0.539 0.904 0.136
Se 0.039 0.096 0.364
Se 0.585 0.625 0.841
Se 0.415 0.375 0.159
Tl 0.238 0.401 0.423
Tl 0.269 0.671 0.692
Tl 0.821 0.897 0.863
Tl 0.321 0.103 0.637
Tl 0.679 0.897 0.363
Tl 0.738 0.599 0.077
Tl 0.231 0.671 0.192
Tl 0.731 0.329 0.308
Tl 0.769 0.329 0.808
Tl 0.762 0.599 0.577
Tl 0.262 0.401 0.923
Tl 0.179 0.103 0.137
Cd 0.618 0.163 0.057
Cd 0.382 0.837 0.943
Cd 0.118 0.837 0.443
Cd 0.882 0.163 0.557

## Properties
The raw formation energy is -0.352 eV per atom. Its electronic total energy is -83.73 eV for the cell shown. For the total moment, the calculation gives 0.0 μB per formula unit.

No. 6
An optimized crystal structure of TlCdSe2. Source: Alexandria, functional GGA-PBE.

abc: 4.114 4.114 7.171
angles: 90.00 90.00 120.00
Element x y z (fractional)
Tl 0.000 0.000 0.500
Se 0.667 0.333 0.779
Se 0.333 0.667 0.221
Cd 0.000 0.000 0.000

## Properties
The raw formation energy is -0.341 eV per atom. Its electronic total energy is -11.62 eV for the cell shown. For the total moment, the calculation gives 0.0 μB per formula unit.

Among the records above, which one has the lowest electronic total energy?
Tl12Cd3Se5

The highest raw formation energy belongs to which entry?
Tl4CdSe